A relaxed structure of Dy2Sc3Co2, computed with PBE.

The structure in POSCAR format:
```
Dy2Sc3Co2
1.0
-2.6471 -1.3433 1.8280
-1.6485 -0.0452 -5.7447
4.9371 -6.4417 2.4159
Dy Sc Co
2 3 2
Direct
0.8371 0.6742 0.2010 Dy
0.1629 0.3258 0.7990 Dy
0.5000 0.0000 0.0000 Sc
0.6224 0.2448 0.4290 Sc
0.3776 0.7552 0.5710 Sc
0.8321 0.6642 0.7625 Co
0.1679 0.3358 0.2375 Co
```

Values from the calculation:
Formation energy, eV/atom: -0.21
ΔE to the lowest computed polymorph, meV per atom: 0